[1]
YErCu2Si4 | PBE-GGA | relaxed

Values from the calculation:
Uncorrected energy = -0.20511 hartree per atom

Cell: 3.9700 8.6838 8.6838 Å, 26.58 90.00 90.00°
With the nearest neighbours (Å) after each atom.
Fractional coordinates of all 8 atoms:
Si  0.0000  0.7498  0.7498  4 Cu 2.39-2.40
Si  0.5000  0.9632  0.9632  1 Cu 2.27, 2 Si 2.33
Si  0.5000  0.2511  0.2511  4 Cu 2.39-2.40
Si  0.0000  0.0359  0.0359  1 Cu 2.29, 2 Si 2.33
Y  0.5000  0.6011  0.6011  10 Si 3.02-3.23, 4 Cu 3.06
Cu  0.5000  0.8289  0.8289  5 Si 2.27-2.39
Cu  0.0000  0.1714  0.1714  5 Si 2.29-2.40
Er  0.0000  0.3985  0.3985  10 Si 3.02-3.21, 4 Cu 3.05

=====

[2]
YEr2Cu4Si4 | PBE-GGA | relaxed

Values from the calculation:
Uncorrected energy = -0.19795 hartree per atom

Cell: 7.8270 7.8270 7.8270 Å, 149.59 130.66 59.07°
With the nearest neighbours (Å) after each atom.
Fractional coordinates of all 11 atoms:
Si  0.3156  0.5000  0.8156  1 Si 2.41, 2 Cu 2.45
Si  0.6844  0.5000  0.1844  1 Si 2.41, 2 Cu 2.45
Si  0.2169  0.2169  0.0000  6 Cu 2.49-2.54
Si  0.7831  0.7831  0.0000  6 Cu 2.49-2.54
Cu  0.3610  0.6695  0.6915  4 Si 2.45-2.54, 1 Cu 2.50
Cu  0.6390  0.3305  0.3085  4 Si 2.45-2.54, 1 Cu 2.50
Cu  0.9780  0.6695  0.3085  4 Si 2.45-2.54, 1 Cu 2.50
Cu  0.0220  0.3305  0.6915  4 Si 2.45-2.54, 1 Cu 2.50
Er  0.3710  0.8710  0.5000  6 Cu 2.93-3.02, 6 Si 2.94-2.96
Er  0.6290  0.1290  0.5000  6 Cu 2.93-3.02, 6 Si 2.94-2.96
Y  0.0000  0.0000  0.0000  6 Si 2.91-2.95

=====

[3]
SmErCu | PBE-GGA | relaxed

Values from the calculation:
Energy relative to the elements = 710 meV per atom
Uncorrected energy = -0.13305 hartree per atom

Cell: 4.7672 4.7672 4.7672 Å, 60.00 60.00 60.00°
With the nearest neighbours (Å) after each atom.
Fractional coordinates of all 3 atoms:
Sm  0.0000  0.0000  0.0000  4 Cu 2.92, 4 Er 2.92
Er  0.7500  0.7500  0.7500  4 Sm 2.92
Cu  0.2500  0.2500  0.2500  4 Sm 2.92

=====

[4]
ErCuSn | PBE-GGA | relaxed

Values from the calculation:
Uncorrected energy = -0.15793 hartree per atom

Cell: 5.0260 5.0260 6.0177 Å, 90.00 90.00 120.00°
With the nearest neighbours (Å) after each atom.
Fractional coordinates of all 6 atoms:
Sn  0.6667  0.3333  0.7500  5 Er 2.90-3.01
Sn  0.3333  0.6667  0.2500  5 Er 2.90-3.01
Cu  0.0000  0.0000  0.5000  2 Cu 3.01, 6 Sn 3.27, 6 Er 3.27
Cu  0.0000  0.0000  0.0000  2 Cu 3.01, 6 Er 3.27, 6 Sn 3.27
Er  0.6667  0.3333  0.2500  5 Sn 2.90-3.01
Er  0.3333  0.6667  0.7500  5 Sn 2.90-3.01